The following is a DFT calculation (PBE+U) of crystalline Li3VF6 at its relaxed geometry.

Lattice parameters (Å, degrees): 5.1452 5.1452 9.6135 90.00 90.00 120.00
Space group P-31c (No. 163)
Symmetry-distinct sites (fractional):
Li  0.0000  0.0000  0.2500 x2
Li  0.3333  0.6667  0.0531 x4
V  0.3333  0.6667  0.7500 x2
F  0.0256  0.3534  0.6307 x12

Output
Final energy   -105.9 eV/cell